(1)
## Li2ReBr (GGA-PBE)

Data for a relaxed structure of Li2ReBr.

Offset from the most stable computed form, eV per atom: 0.431
ΔE_f (raw), kJ per mole of atoms: 51.6
SG: C2/m (12)
E_tot, eV/atom: -3.952
Density of states at the Fermi level, states/eV/atom: 0.638

abc: 10.189 2.923 4.700
angles: 90.00 117.07 90.00
Atoms (fractional coordinates):
Li 0.228 0.000 0.229
Li 0.272 0.500 0.771
Li 0.728 0.500 0.229
Li 0.772 0.000 0.771
Re 0.000 0.000 0.500
Re 0.500 0.500 0.500
Br 0.000 0.500 0.000
Br 0.500 0.000 0.000


(2)
## NaGa2Mo (GGA-PBE)

Data for a relaxed structure of NaGa2Mo.

Offset from the most stable computed form, eV per atom: 0.000
SG: Fm-3m (225)
ΔH_f (0 K), meV per atom: 342
E_tot, eV/atom: -4.209
Density of states at the Fermi level, states/eV/atom: 0.851

abc: 6.513 6.513 6.513
angles: 90.00 90.00 90.00
Atoms (fractional coordinates):
Na 0.000 0.000 0.000
Na 0.000 0.500 0.500
Na 0.500 0.000 0.500
Na 0.500 0.500 0.000
Ga 0.250 0.250 0.250
Ga 0.250 0.250 0.750
Ga 0.250 0.750 0.250
Ga 0.250 0.750 0.750
Ga 0.750 0.250 0.250
Ga 0.750 0.250 0.750
Ga 0.750 0.750 0.250
Ga 0.750 0.750 0.750
Mo 0.000 0.000 0.500
Mo 0.000 0.500 0.000
Mo 0.500 0.000 0.000
Mo 0.500 0.500 0.500


Please write out number 1 again, unchanged.
## Li2ReBr (GGA-PBE)

Data for a relaxed structure of Li2ReBr.

Offset from the most stable computed form, eV per atom: 0.431
ΔE_f (raw), kJ per mole of atoms: 51.6
SG: C2/m (12)
E_tot, eV/atom: -3.952
Density of states at the Fermi level, states/eV/atom: 0.638

abc: 10.189 2.923 4.700
angles: 90.00 117.07 90.00
Atoms (fractional coordinates):
Li 0.228 0.000 0.229
Li 0.272 0.500 0.771
Li 0.728 0.500 0.229
Li 0.772 0.000 0.771
Re 0.000 0.000 0.500
Re 0.500 0.500 0.500
Br 0.000 0.500 0.000
Br 0.500 0.000 0.000


Copy entry 2 word for word.
## NaGa2Mo (GGA-PBE)

Data for a relaxed structure of NaGa2Mo.

Offset from the most stable computed form, eV per atom: 0.000
SG: Fm-3m (225)
ΔH_f (0 K), meV per atom: 342
E_tot, eV/atom: -4.209
Density of states at the Fermi level, states/eV/atom: 0.851

abc: 6.513 6.513 6.513
angles: 90.00 90.00 90.00
Atoms (fractional coordinates):
Na 0.000 0.000 0.000
Na 0.000 0.500 0.500
Na 0.500 0.000 0.500
Na 0.500 0.500 0.000
Ga 0.250 0.250 0.250
Ga 0.250 0.250 0.750
Ga 0.250 0.750 0.250
Ga 0.250 0.750 0.750
Ga 0.750 0.250 0.250
Ga 0.750 0.250 0.750
Ga 0.750 0.750 0.250
Ga 0.750 0.750 0.750
Mo 0.000 0.000 0.500
Mo 0.000 0.500 0.000
Mo 0.500 0.000 0.000
Mo 0.500 0.500 0.500


Number 2 is which compound? NaGa2Mo